Entry from Alexandria via LeMat-Bulk: crystalline AcErMgIr at its relaxed geometry (PBE).

Structure (CIF):
```
data_AcErMgIr
_symmetry_space_group_name_H-M 'F -4 3 m'
_symmetry_Int_Tables_number 216
_symmetry_space_group_name_Hall 'F -4 2 3'
_cell_length_a 7.4124
_cell_length_b 7.4124
_cell_length_c 7.4124
_cell_angle_alpha 90.00
_cell_angle_beta 90.00
_cell_angle_gamma 90.00
loop_
_atom_site_label
_atom_site_type_symbol
_atom_site_fract_x
_atom_site_fract_y
_atom_site_fract_z
_atom_site_occupancy
Ac1 Ac 0.0000 0.0000 0.0000 1
Er1 Er 0.0000 0.0000 0.5000 1
Mg1 Mg 0.2500 0.2500 0.7500 1
Ir1 Ir 0.2500 0.2500 0.2500 1
```

Results
ΔE_f, meV/atom: -265

=====

Entry from Alexandria via LeMat-Bulk: crystalline KPuP2N6 at its relaxed geometry (PBE).

Structure (CIF):
```
data_KPuP2N6
_symmetry_space_group_name_H-M 'C 1 2/c 1'
_symmetry_Int_Tables_number 15
_cell_length_a 10.2414
_cell_length_b 10.4358
_cell_length_c 5.3960
_cell_angle_alpha 90.00
_cell_angle_beta 105.63
_cell_angle_gamma 90.00
loop_
_symmetry_equiv_pos_as_xyz
'x,y,z'
'-x,-y,-z'
'-x,y,-z+1/2'
'x,-y,z+1/2'
'x+1/2,y+1/2,z'
'-x+1/2,-y+1/2,-z'
'-x+1/2,y+1/2,-z+1/2'
'x+1/2,-y+1/2,z+1/2'
loop_
_atom_site_label
_atom_site_type_symbol
_atom_site_fract_x
_atom_site_fract_y
_atom_site_fract_z
_atom_site_occupancy
K1 K 0.0000 0.0861 0.2500 1
Pu1 Pu 0.0000 0.2972 0.7500 1
P1 P 0.2154 0.4210 0.1473 1
N1 N 0.0927 0.3110 0.1058 1
N2 N 0.1394 0.1442 0.7321 1
N3 N 0.1816 0.4658 0.8372 1
```

Results
Raw formation energy, eV/atom: -0.285

=====

Entry from Alexandria via LeMat-Bulk: crystalline Ho3Zr3TaN8 at its relaxed geometry (PBE).

Structure (CIF):
```
data_Ho3Zr3TaN8
_symmetry_space_group_name_H-M 'R -3 m'
_symmetry_Int_Tables_number 166
_symmetry_space_group_name_Hall '-R 3 2"'
_cell_length_a 6.5421
_cell_length_b 6.5421
_cell_length_c 16.5221
_cell_angle_alpha 90.00
_cell_angle_beta 90.00
_cell_angle_gamma 120.00
loop_
_atom_site_label
_atom_site_type_symbol
_atom_site_fract_x
_atom_site_fract_y
_atom_site_fract_z
_atom_site_occupancy
Ho1 Ho 0.0000 0.5000 0.0000 1
Zr1 Zr 0.0000 0.5000 0.5000 1
Ta1 Ta 0.0000 0.0000 0.5000 1
N1 N 0.0000 0.0000 0.2454 1
N2 N 0.0202 0.5101 0.2392 1
```

Results
Raw formation energy, eV/atom: -1.584